(1)
# BeZnTc2Os, relaxed, DFT PBE
# Total moment: 1.80 μB/cell
data_BeZnTc2Os
_chemical_formula_sum 'Be1 Zn1 Tc2 Os1'
_symmetry_space_group_name_H-M 'P 1'
_symmetry_Int_Tables_number 1
_symmetry_space_group_name_Hall 'P 1'
_cell_length_a 4.682
_cell_length_b 4.718
_cell_length_c 4.682
_cell_angle_alpha 90.00
_cell_angle_beta 90.00
_cell_angle_gamma 90.00
loop_
_atom_site_label
_atom_site_type_symbol
_atom_site_fract_x
_atom_site_fract_y
_atom_site_fract_z
_atom_site_occupancy
Tc1 Tc 0.000 0.000 0.500 1
Os1 Os 0.000 0.000 0.000 1
Zn1 Zn 0.000 0.500 0.000 1
Tc2 Tc 0.500 0.000 0.000 1
Be1 Be 0.500 0.500 0.500 1

***

(2)
# BeTe2Os, relaxed, DFT PBE
# Total moment: 0.00 μB/cell
data_BeTe2Os
_chemical_formula_sum 'Be1 Te2 Os1'
_symmetry_space_group_name_H-M 'P 1'
_symmetry_Int_Tables_number 1
_symmetry_space_group_name_Hall 'P 1'
_cell_length_a 4.200
_cell_length_b 4.200
_cell_length_c 6.532
_cell_angle_alpha 78.54
_cell_angle_beta 78.54
_cell_angle_gamma 52.90
loop_
_atom_site_label
_atom_site_type_symbol
_atom_site_fract_x
_atom_site_fract_y
_atom_site_fract_z
_atom_site_occupancy
Te1 Te 0.978 0.978 0.117 1
Te2 Te 0.739 0.739 0.642 1
Be1 Be 0.542 0.542 0.384 1
Os1 Os 0.240 0.240 0.357 1

***

(3)
# BeTe3Os, relaxed, DFT PBE
# Total moment: 0.00 μB/cell
# Excess energy over the best structure of this formula in the dataset: 27 meV per atom
data_BeTe3Os
_chemical_formula_sum 'Be1 Te3 Os1'
_symmetry_space_group_name_H-M 'P 1'
_symmetry_Int_Tables_number 1
_symmetry_space_group_name_Hall 'P 1'
_cell_length_a 4.747
_cell_length_b 4.747
_cell_length_c 4.747
_cell_angle_alpha 90.00
_cell_angle_beta 90.00
_cell_angle_gamma 90.00
loop_
_atom_site_label
_atom_site_type_symbol
_atom_site_fract_x
_atom_site_fract_y
_atom_site_fract_z
_atom_site_occupancy
Os1 Os 0.500 0.500 0.500 1
Te1 Te 0.000 0.500 0.000 1
Be1 Be 0.000 0.000 0.000 1
Te2 Te 0.000 0.000 0.500 1
Te3 Te 0.500 0.000 0.000 1

***

Calculated total energy for every record listed, in sequence, given in eV per atom: -5.662; -5.181; -3.678.